[1]
The following is a PBE-GGA calculation of crystalline Sb2Pb5 at its relaxed geometry, from the Alexandria database.

Geometry as POSCAR:
```
Sb2Pb5
1.0
6.6962 0.0000 0.0000
0.0000 7.5662 0.5475
-3.3481 -0.6325 8.8076
Pb Sb
10 4
Cartesian
3.9789 -0.1833 6.1399
0.6307 3.3338 2.9415
0.7303 1.0063 5.4829
1.6079 5.6746 0.4106
-0.7303 4.7894 5.7567
2.6178 5.9273 3.8722
2.7174 3.5998 6.4136
4.0784 2.1442 3.5984
-0.6307 7.1169 3.2152
5.0884 1.8915 0.1369
1.2432 5.9400 7.9796
-1.2432 2.1569 7.7059
2.1050 0.9936 1.3755
4.5913 4.7767 1.6492
```



[2]
The following is a PBE-GGA calculation of crystalline SbPb at its relaxed geometry, from the Alexandria database.

Geometry as POSCAR:
```
SbPb
1.0
-4.8282 0.6039 -1.5682
-1.5249 -2.0507 -4.4277
-3.7454 -5.7296 0.9923
Sb Pb
2 2
Cartesian
-2.3836 -1.3395 -1.5100
-7.7150 -5.8369 -3.4936
-6.8938 -3.1897 -5.0024
-3.2048 -3.9867 -0.0012
```



[3]
The following is a PBE-GGA calculation of crystalline Sb3Pb at its relaxed geometry, from the Alexandria database.

Output
ΔE to the lowest computed polymorph = 56.0 meV/atom

Geometry as POSCAR:
```
Sb3Pb
1.0
8.5461 0.0000 0.0000
0.0000 7.7450 0.0000
0.0000 0.0000 7.6885
Sb Pb
12 4
Cartesian
7.4524 0.6503 1.9221
3.1845 5.5933 0.0400
1.0886 1.7208 0.0400
1.0886 1.7208 3.8043
5.3616 2.1517 7.6486
1.0937 7.0946 5.7664
5.3616 2.1517 3.8842
3.1794 3.2222 5.7664
3.1845 5.5933 3.8043
7.4576 6.0242 3.8842
5.3668 4.5228 1.9221
7.4576 6.0242 7.6486
7.6281 3.3493 5.7664
5.1911 7.2218 5.7664
3.3550 0.5232 1.9221
0.9180 4.3957 1.9221
```



[4]
The following is a PBE-GGA calculation of crystalline SbPb at its relaxed geometry, from the Alexandria database.

Geometry as POSCAR:
```
SbPb
1.0
4.2109 0.0000 -0.9255
0.0000 4.8429 0.0000
-0.1052 0.0000 9.5634
Sb Pb
3 3
Cartesian
0.0000 2.4214 0.0000
2.8484 0.0000 2.9174
1.2573 0.0000 5.7205
0.6488 2.4214 2.9519
3.4569 2.4214 5.6860
2.1054 0.0000 -0.4628
```



[5]
The following is a PBE-GGA calculation of crystalline SbPb at its relaxed geometry, from the Alexandria database.

Geometry as POSCAR:
```
SbPb
1.0
-0.2040 2.3628 -4.7974
-3.2457 -2.5884 -1.1368
-3.5010 3.5631 1.9038
Pb Sb
2 2
Cartesian
-4.4007 3.1539 -2.7368
-2.5500 0.1836 -1.2936
-3.9606 0.3300 -4.1464
-2.9900 3.0076 0.1160
```



[6]
The following is a PBE-GGA calculation of crystalline Sc2SbPb at its relaxed geometry, from the Alexandria database.

Output
ΔE to the lowest computed polymorph = 42.6 meV/atom

Geometry as POSCAR:
```
Sc2SbPb
1.0
4.2493 0.0000 0.0000
0.0000 4.1377 0.4039
0.0000 3.9149 6.3325
Sb Pb Sc
1 1 2
Cartesian
2.1247 6.0118 5.7946
0.0000 4.0540 2.6258
2.1247 1.9850 2.4265
0.0000 3.9430 5.5902
```



[7]
The following is a PBE-GGA calculation of crystalline ScSbPb3 at its relaxed geometry, from the Alexandria database.

Output
ΔE to the lowest computed polymorph = 0.0 meV/atom

Geometry as POSCAR:
```
ScSbPb3
1.0
5.6123 0.0000 0.0000
0.0000 5.6123 0.0000
0.0000 0.0000 5.6123
Sc Pb Sb
1 3 1
Cartesian
0.0000 0.0000 0.0000
2.8061 0.0000 0.0000
0.0000 2.8061 0.0000
0.0000 0.0000 2.8061
2.8061 2.8061 2.8061
```



[8]
The following is a PBE-GGA calculation of crystalline ScSbPb2 at its relaxed geometry, from the Alexandria database.

Geometry as POSCAR:
```
ScSbPb2
1.0
-3.0723 2.4192 -4.2694
-5.5419 0.1337 1.6700
4.8001 1.8019 2.6892
Sb Pb Sc
1 2 1
Cartesian
-4.3071 1.2764 -1.2997
0.0000 0.0000 0.0000
-2.5245 1.6060 1.5298
-1.2897 2.7488 -1.4400
```



[9]
The following is a PBE-GGA calculation of crystalline Sc8Sb5Pb at its relaxed geometry, from the Alexandria database.

Geometry as POSCAR:
```
Sc8Sb5Pb
1.0
7.1332 0.0000 -2.4940
-3.5396 6.1780 -2.5312
-0.0541 0.0000 7.5565
Sc Pb Sb
8 1 5
Cartesian
1.2794 3.7073 -0.9831
4.5953 1.5439 0.2488
1.2393 5.5948 2.7571
-1.7853 4.6562 -1.9936
6.5493 0.5832 2.8127
1.0759 1.5218 1.4863
-1.8185 4.6341 1.7369
3.0229 2.4706 4.0598
-0.0270 3.0890 3.7782
2.1714 0.7603 6.2874
3.5396 0.0000 2.5312
3.1121 5.4177 -2.5090
-1.3142 2.3268 -0.0051
3.1099 3.8512 1.2892
```



[10]
The following is a PBE-GGA calculation of crystalline Sc2SbPb at its relaxed geometry, from the Alexandria database.

Output
ΔE to the lowest computed polymorph = 414.5 meV/atom

Geometry as POSCAR:
```
Sc2SbPb
1.0
-2.0073 -0.6818 2.4523
-2.0147 -1.4831 -2.0614
4.8593 -8.7493 1.5452
Sc Sb Pb
2 1 1
Cartesian
-0.8629 -3.1495 0.5605
0.0035 -0.0063 0.0011
1.8194 -7.9792 1.4135
2.3069 -4.1537 0.7336
```



[11]
The following is a PBE-GGA calculation of crystalline ScSbPb2 at its relaxed geometry, from the Alexandria database.

Geometry as POSCAR:
```
ScSbPb2
1.0
5.6982 0.1546 0.0000
-1.2688 5.5573 0.0000
0.0000 0.0000 3.4293
Sc Sb Pb
1 1 2
Cartesian
-0.6344 2.7787 1.7147
2.8491 0.0773 1.7147
2.2147 2.8560 0.0000
0.0000 0.0000 0.0000
```



[12]
The following is a PBE-GGA calculation of crystalline ScSbPb2 at its relaxed geometry, from the Alexandria database.

Geometry as POSCAR:
```
ScSbPb2
1.0
-1.5904 -3.0255 0.0125
2.3201 -1.2286 -2.1888
5.3520 -2.7834 7.2356
Pb Sc Sb
2 1 1
Cartesian
2.7962 -1.4542 3.7804
5.2318 -2.7209 7.0731
4.3789 -4.2146 4.3386
1.7029 -2.8229 0.7208
```



[13]
The following is a PBE-GGA calculation of crystalline Sc2SbPb at its relaxed geometry, from the Alexandria database.

Output
ΔE to the lowest computed polymorph = 550.8 meV/atom

Geometry as POSCAR:
```
Sc2SbPb
1.0
-2.6532 -2.6018 10.3315
0.6953 -2.3169 10.7097
-1.2675 0.4306 10.8976
Pb Sc Sb
1 2 1
Cartesian
-1.6127 -2.2441 15.9694
-2.9395 -4.0904 29.1081
-0.2859 -0.3978 2.8307
0.0000 0.0000 0.0000
```



[14]
The following is a PBE-GGA calculation of crystalline Sc2SbPb at its relaxed geometry, from the Alexandria database.

Output
ΔE to the lowest computed polymorph = 95.2 meV/atom

Geometry as POSCAR:
```
Sc2SbPb
1.0
-0.1643 1.4372 -4.0796
-5.5060 0.4294 0.3730
0.3903 3.8427 1.3380
Pb Sc Sb
1 2 1
Cartesian
0.1130 2.6400 -1.3708
0.0000 0.0000 0.0000
-2.8352 0.9333 -1.8533
-2.5578 2.1361 0.8555
```



[15]
The following is a PBE-GGA calculation of crystalline Sc2SbPb at its relaxed geometry, from the Alexandria database.

Output
ΔE to the lowest computed polymorph = 0.0 meV/atom

Geometry as POSCAR:
```
Sc2SbPb
1.0
-1.2647 2.7481 2.5300
-7.4183 -1.8984 -1.6462
0.1205 -9.0023 9.8384
Sc Pb Sb
8 4 4
Cartesian
-3.2969 -3.1192 6.3504
-6.3504 -2.9446 1.5608
-5.2657 -5.0333 4.3718
-2.6366 -2.3360 2.7561
-6.9475 -8.4444 10.3097
-5.9259 -5.8166 7.9661
-1.6151 0.2918 0.4125
-2.2122 -5.2080 9.1614
-4.3112 -1.1062 0.5833
-8.0002 -5.0309 6.0758
-4.2514 -7.0464 10.1390
-0.5623 -3.1217 4.6464
-1.4892 0.4673 3.3583
-5.1770 -2.0822 4.2842
-3.3856 -6.0704 6.4380
-7.0733 -8.6199 7.3639
```



[16]
The following is a PBE-GGA calculation of crystalline Sc2SbPb at its relaxed geometry, from the Alexandria database.

Output
ΔE to the lowest computed polymorph = 485.9 meV/atom

Geometry as POSCAR:
```
Sc2SbPb
1.0
10.5178 0.0021 0.0012
9.9649 3.3652 0.0012
9.9649 1.6382 2.9396
Sc Sb Pb
2 1 1
Cartesian
7.6850 1.2634 0.7426
0.0257 0.0042 0.0025
22.6736 3.7275 2.1909
15.2872 2.5132 1.4772
```



[17]
The following is a PBE-GGA calculation of crystalline Sc2SbPb at its relaxed geometry, from the Alexandria database.

Output
ΔE to the lowest computed polymorph = 190.1 meV/atom

Geometry as POSCAR:
```
Sc2SbPb
1.0
0.0000 3.6509 3.6509
3.6509 0.0000 3.6509
3.6509 3.6509 0.0000
Sc Pb Sb
2 1 1
Cartesian
5.4764 5.4764 5.4764
1.8255 1.8255 1.8255
3.6509 3.6509 3.6509
0.0000 0.0000 0.0000
```



[18]
The following is a PBE-GGA calculation of crystalline Sc10Sb3Pb3 at its relaxed geometry, from the Alexandria database.

Geometry as POSCAR:
```
Sc10Sb3Pb3
1.0
-3.6733 4.7535 0.6362
-6.1584 -5.1382 2.8338
5.4789 3.4997 5.4855
Sb Pb Sc
3 3 10
Cartesian
3.3461 2.1374 3.3501
-3.7611 -3.1380 1.7307
-0.2645 -0.6378 3.2385
-2.2496 1.3809 5.3743
0.3124 3.7494 2.4697
-4.2521 0.3614 1.4296
1.3141 0.8394 1.3157
0.6971 1.7886 4.7579
-5.0498 1.3264 4.1976
-3.1820 -1.0907 3.8741
-6.5303 -1.5394 2.4779
-1.1707 4.2057 5.0814
-1.4771 -1.2324 0.6797
2.3392 5.0441 4.4989
-0.5165 -1.2455 6.3239
-1.9982 1.9870 2.2967
```



[19]
The following is a PBE-GGA calculation of crystalline Sc4Sb2Pb at its relaxed geometry, from the Alexandria database.

Output
ΔE to the lowest computed polymorph = 469.0 meV/atom

Geometry as POSCAR:
```
Sc4Sb2Pb
1.0
5.2571 0.0000 0.0000
0.0000 5.2571 0.0000
2.6285 2.6285 7.5984
Sc Pb Sb
4 1 2
Cartesian
0.0000 2.6285 0.0000
2.6285 0.0000 0.0000
5.2571 5.2571 2.7944
2.6285 2.6285 4.8040
0.0000 0.0000 0.0000
2.6285 2.6285 1.9827
5.2571 5.2571 5.6157
```



[20]
The following is a PBE-GGA calculation of crystalline Sc2SbPb at its relaxed geometry, from the Alexandria database.

Output
ΔE to the lowest computed polymorph = 87.7 meV/atom

Geometry as POSCAR:
```
Sc2SbPb
1.0
-2.9950 0.1218 1.8423
0.7353 -3.4298 -0.2733
4.3113 0.3678 6.9847
Pb Sc Sb
1 2 1
Cartesian
-0.0521 -1.5620 2.5307
2.2086 0.1884 3.5781
4.2583 0.3633 6.8989
2.1036 -1.3782 6.0230
```



[21]
The following is a PBE-GGA calculation of crystalline ScSbPb2 at its relaxed geometry, from the Alexandria database.

Geometry as POSCAR:
```
ScSbPb2
1.0
-0.0230 3.4370 -0.0703
-0.7308 -0.8300 -3.2550
-9.2648 -0.0194 2.0849
Sb Sc Pb
1 1 2
Cartesian
-2.6931 1.2986 -1.1415
-7.3255 1.2889 -0.0990
-9.1094 -0.0191 2.0499
-4.7878 -0.0100 1.0774
```



[22]
The following is a PBE-GGA calculation of crystalline ScSb4Pb at its relaxed geometry, from the Alexandria database.

Geometry as POSCAR:
```
ScSb4Pb
1.0
1.4294 -5.4442 2.6886
1.1822 -0.2409 6.1201
-4.0675 -2.7368 3.8569
Pb Sb Sc
1 4 1
Cartesian
0.0000 0.0000 0.0000
0.0411 -3.2835 7.8020
-2.5701 -4.5250 6.6763
-0.5470 -3.1637 4.7578
0.1640 -5.8716 6.0951
-1.0920 -6.3164 9.4992
```



[23]
The following is a PBE-GGA calculation of crystalline Sc2SbPb at its relaxed geometry, from the Alexandria database.

Output
ΔE to the lowest computed polymorph = 203.2 meV/atom

Geometry as POSCAR:
```
Sc2SbPb
1.0
7.9297 0.0000 0.0000
0.0000 7.9297 0.0000
3.9649 3.9649 3.3078
Sc Sb Pb
4 2 2
Cartesian
2.0417 5.9473 0.8270
9.9121 9.8528 2.4809
5.9473 6.0066 2.4809
5.8880 1.9824 0.8270
3.9649 7.9297 1.6539
3.9649 3.9649 0.0000
7.9297 3.9649 1.6539
0.0000 0.0000 0.0000
```



[24]
The following is a PBE-GGA calculation of crystalline Sc2SbPb at its relaxed geometry, from the Alexandria database.

Output
ΔE to the lowest computed polymorph = 41.0 meV/atom

Geometry as POSCAR:
```
Sc2SbPb
1.0
5.9235 -0.0244 -0.3339
4.5371 3.8082 -0.3339
0.5363 0.1940 4.3329
Pb Sb Sc
1 1 2
Cartesian
5.4574 1.9741 2.3544
2.8099 1.0164 0.3859
8.2229 2.9744 2.2387
10.4658 3.7857 -0.1489
```



[25]
The following is a PBE-GGA calculation of crystalline Sc2SbPb at its relaxed geometry, from the Alexandria database.

Output
ΔE to the lowest computed polymorph = 65.0 meV/atom

Geometry as POSCAR:
```
Sc2SbPb
1.0
3.9354 0.0000 0.0000
1.9677 3.4082 0.0000
1.9677 1.1361 7.8663
Sc Pb Sb
2 1 1
Cartesian
1.9677 1.1361 6.1002
1.9677 1.1361 1.7725
3.9354 2.2721 3.9528
5.9031 3.4082 7.8401
```



[26]
The following is a PBE-GGA calculation of crystalline ScSbPb2 at its relaxed geometry, from the Alexandria database.

Geometry as POSCAR:
```
ScSbPb2
1.0
6.2938 -0.0257 -0.0752
3.1218 5.4651 0.0752
-4.6675 -2.7895 3.1704
Pb Sc Sb
2 1 1
Cartesian
9.3996 5.4302 0.0000
4.7237 2.7289 0.0000
3.1671 -0.0477 1.5476
1.5811 2.6976 1.6228
```



Number 1: E_form (uncorrected) 0.06 eV/atom, E_tot -3.77 eV/atom. Number 2: E_form (uncorrected) 0.09 eV/atom, E_tot -3.83 eV/atom. Number 3: E_form (uncorrected) 0.11 eV/atom, E_tot -3.91 eV/atom. Number 4: E_form (uncorrected) 0.09 eV/atom, E_tot -3.82 eV/atom. Number 5: E_form (uncorrected) 0.06 eV/atom, E_tot -3.86 eV/atom. Number 6: E_form (uncorrected) -0.55 eV/atom, E_tot -5.68 eV/atom. Number 7: E_form (uncorrected) 0.42 eV/atom, E_tot -3.89 eV/atom. Number 8: E_form (uncorrected) -0.15 eV/atom, E_tot -4.62 eV/atom. Number 9: E_form (uncorrected) -0.81 eV/atom, E_tot -6.16 eV/atom. Number 10: E_form (uncorrected) -0.18 eV/atom, E_tot -5.31 eV/atom. Number 11: E_form (uncorrected) -0.10 eV/atom, E_tot -4.57 eV/atom. Number 12: E_form (uncorrected) 0.03 eV/atom, E_tot -4.44 eV/atom. Number 13: E_form (uncorrected) -0.05 eV/atom, E_tot -5.17 eV/atom. Number 14: E_form (uncorrected) -0.50 eV/atom, E_tot -5.63 eV/atom. Number 15: E_form (uncorrected) -0.60 eV/atom, E_tot -5.72 eV/atom. Number 16: E_form (uncorrected) -0.11 eV/atom, E_tot -5.24 eV/atom. Number 17: E_form (uncorrected) -0.41 eV/atom, E_tot -5.53 eV/atom. Number 18: E_form (uncorrected) -0.66 eV/atom, E_tot -6.09 eV/atom. Number 19: E_form (uncorrected) -0.07 eV/atom, E_tot -5.40 eV/atom. Number 20: E_form (uncorrected) -0.51 eV/atom, E_tot -5.63 eV/atom. Number 21: E_form (uncorrected) 0.02 eV/atom, E_tot -4.45 eV/atom. Number 22: E_form (uncorrected) 0.16 eV/atom, E_tot -4.26 eV/atom. Number 23: E_form (uncorrected) -0.39 eV/atom, E_tot -5.52 eV/atom. Number 24: E_form (uncorrected) -0.56 eV/atom, E_tot -5.68 eV/atom. Number 25: E_form (uncorrected) -0.53 eV/atom, E_tot -5.66 eV/atom. Number 26: E_form (uncorrected) -0.20 eV/atom, E_tot -4.67 eV/atom.